No. 1
{"formula": "Cu2AgP", "functional": "PBE", "state": "optimized geometry", "spacegroup": "P4/mmm, No. 123", "mass_density_g_cm3": 7.85, "dft_energy_ev_per_atom": -3.97, "delta_e_f_ev_per_atom": 0.146, "volume_a3_per_atom": 14.06, "lattice": [[3.091, 0.000, 0.000], [0.000, 3.091, 0.000], [0.000, 0.000, 5.886]], "species": ["Cu", "Cu", "Ag", "P"], "fractional_positions": [[0.000, 0.000, 0.215], [0.000, 0.000, 0.785], [0.500, 0.500, 0.500], [0.500, 0.500, 0.000]]}



No. 2
{"formula": "Ti5AgPd8", "functional": "PBE", "state": "optimized geometry", "spacegroup": "I-4, No. 82", "mass_density_g_cm3": 8.55, "dft_energy_ev_per_atom": -6.33, "delta_e_f_ev_per_atom": -0.343, "volume_a3_per_atom": 16.63, "lattice": [[-3.890, 3.890, 3.847], [3.890, -3.890, 3.847], [3.890, 3.890, -3.847]], "species": ["Ti", "Ti", "Ti", "Ti", "Ti", "Ag", "Pd", "Pd", "Pd", "Pd", "Pd", "Pd", "Pd", "Pd"], "fractional_positions": [[0.000, 0.000, 0.000], [0.268, 0.618, 0.078], [0.382, 0.460, 0.650], [0.540, 0.190, 0.922], [0.810, 0.732, 0.350], [0.750, 0.250, 0.500], [0.021, 0.423, 0.266], [0.108, 0.166, 0.740], [0.157, 0.755, 0.734], [0.245, 0.979, 0.402], [0.426, 0.368, 0.260], [0.577, 0.843, 0.598], [0.632, 0.892, 0.058], [0.834, 0.574, 0.942]]}



No. 3
{"formula": "In3IrCl", "functional": "PBE", "state": "optimized geometry", "spacegroup": "Cmcm, No. 63", "mass_density_g_cm3": 7.64, "dft_energy_ev_per_atom": -3.93, "e_form_raw_ev_per_atom": -0.14, "volume_a3_per_atom": 24.87, "de_polymorph_mev_per_atom": 295, "lattice": [[3.221, -7.351, 0.000], [3.221, 7.351, 0.000], [0.000, 0.000, 5.251]], "species": ["In", "In", "In", "In", "In", "In", "Ir", "Ir", "Cl", "Cl"], "fractional_positions": [[0.000, 0.000, 0.000], [0.000, 0.000, 0.500], [0.035, 0.423, 0.250], [0.423, 0.035, 0.750], [0.577, 0.965, 0.250], [0.965, 0.577, 0.750], [0.166, 0.834, 0.250], [0.834, 0.166, 0.750], [0.439, 0.561, 0.250], [0.561, 0.439, 0.750]]}



No. 4
{"formula": "Ba2H6RuPb", "functional": "PBE", "state": "optimized geometry", "spacegroup": "P-3m1, No. 164", "mass_density_g_cm3": 5.58, "dft_energy_ev_per_atom": -4.02, "volume_a3_per_atom": 17.53, "lattice": [[5.477, 0.000, 0.000], [-2.739, 4.743, 0.000], [0.000, 0.000, 6.749]], "species": ["Ba", "Ba", "H", "H", "H", "H", "H", "H", "Ru", "Pb"], "fractional_positions": [[0.333, 0.667, 0.196], [0.667, 0.333, 0.804], [0.153, 0.306, 0.861], [0.153, 0.847, 0.861], [0.306, 0.153, 0.139], [0.694, 0.847, 0.861], [0.847, 0.153, 0.139], [0.847, 0.694, 0.139], [0.000, 0.000, 0.000], [0.000, 0.000, 0.500]]}